# Ca2IrRh | Alexandria via LeMat-Bulk | PBEsol | relaxed
# Energy of formation (eV per atom): -0.16
# Total energy (eV per formula unit): -22.86
data_Ca2IrRh
_chemical_formula_sum 'Ca4 Ir2 Rh2'
_cell_length_a 10.866
_cell_length_b 2.989
_cell_length_c 5.070
_cell_angle_alpha 90.00
_cell_angle_beta 109.67
_cell_angle_gamma 90.00
_space_group_name_H-M_alt 'C 1 m 1'
_space_group_IT_number 8
_space_group_name_Hall 'C -2y'
loop_
_atom_site_label
_atom_site_type_symbol
_atom_site_fract_x
_atom_site_fract_y
_atom_site_fract_z
Ca1 Ca 0.000 0.000 0.000
Ca2 Ca 0.203 0.000 0.615
Ir1 Ir 0.258 0.500 0.145
Rh1 Rh 0.444 0.000 0.472